This record from Alexandria describes a relaxed structure of CePaAlO6. The functional is GGA-PBE.

Lattice parameters (Å, degrees): 5.3610 5.3610 4.8042 90.00 90.00 120.00
Space group P312 (No. 149)
One atom of each set of equivalent atoms:
Ce 0.0000 0.0000 0.0000 (multiplicity 1)
Pa 0.3333 0.6667 0.5000 (multiplicity 1)
Al 0.6667 0.3333 0.0000 (multiplicity 1)
O 0.3739 0.0212 0.7687 (multiplicity 6)

Properties
Electronic total energy: -0.635 Ry per atom
Density of states at the Fermi level: 0.00 states/eV/f.u.
E_form (uncorrected): -3210 meV/atom